SrLiSi: relaxed, PBE.

Cell lengths 4.754, 4.754, 3.750 Å; angles 90.00, 90.00, 120.00 degrees
Positions (direct):
1 Sr 0.000 0.000 0.000
2 Li 0.333 0.667 0.500
3 Si 0.667 0.333 0.500

Formation energy without anion corrections ... -75 kJ/mol of formula units

---

NiAg3Br4: relaxed, PBE.

Cell lengths 7.537, 7.537, 7.537 Å; angles 131.87, 131.87, 70.43 degrees
Positions (direct):
1 Ni 0.000 0.000 0.000
2 Ag 0.250 0.750 0.500
3 Ag 0.500 0.500 0.000
4 Ag 0.750 0.250 0.500
5 Br 0.114 0.114 0.458
6 Br 0.344 0.886 0.000
7 Br 0.656 0.656 0.542
8 Br 0.886 0.344 0.000

Formation energy without anion corrections ... -144 kJ/mol of formula units

---

GaCu14Ni: relaxed, PBE.

Cell lengths 8.414, 5.154, 5.154 Å; angles 59.25, 90.00, 90.00 degrees
Positions (direct):
1 Ga 0.000 0.000 0.000
2 Cu 0.000 0.001 0.500
3 Cu 0.000 0.500 0.001
4 Cu 0.251 0.167 0.662
5 Cu 0.251 0.662 0.167
6 Cu 0.251 0.664 0.664
7 Cu 0.252 0.166 0.166
8 Cu 0.500 0.329 0.329
9 Cu 0.500 0.329 0.830
10 Cu 0.500 0.830 0.329
11 Cu 0.500 0.830 0.830
12 Cu 0.748 0.166 0.166
13 Cu 0.749 0.167 0.662
14 Cu 0.749 0.662 0.167
15 Cu 0.749 0.664 0.664
16 Ni 0.000 0.501 0.501

ΔE_f ... -0.583 eV/f.u.

---

CuBi2Pt2: relaxed, PBE.

Cell lengths 7.712, 7.712, 3.637 Å; angles 90.00, 90.00, 90.00 degrees
Positions (direct):
1 Cu 0.000 0.000 0.000
2 Cu 0.500 0.500 0.000
3 Bi 0.171 0.329 0.000
4 Bi 0.329 0.829 0.000
5 Bi 0.671 0.171 0.000
6 Bi 0.829 0.671 0.000
7 Pt 0.130 0.630 0.500
8 Pt 0.370 0.130 0.500
9 Pt 0.630 0.870 0.500
10 Pt 0.870 0.370 0.500

ΔE_f ... 0.910 eV/f.u.
Distance to the lowest polymorph of the same formula ... 1.02 eV per formula unit

---

| no. | D(E_F) (states/eV/cell) |
| --- | --- |
| 1 | 0.63 |
| 2 | 9.26 |
| 3 | 7.11 |
| 4 | 4.09 |